Record 1
DFT (GGA-PBE) results for crystalline LaMo3Se at its relaxed geometry.

Cell: 4.8364 4.8364 4.8364 Å, 90.00 90.00 90.00°
Closest atoms and distances in Å follow each position.
Atoms (fractional coordinates):
Se 0.5000 0.5000 0.5000  12 Mo 3.42
La 0.0000 0.0000 0.0000  6 Mo 2.42
Mo 0.0000 0.0000 0.5000  2 La 2.42
Mo 0.5000 0.0000 0.0000  2 La 2.42
Mo 0.0000 0.5000 0.0000  2 La 2.42

Properties
- excess energy over the best structure of this formula in the dataset (meV per atom) = 1621.8
- DOS(E_F) (states/eV/cell) = 10.09

***

Record 2
DFT (GGA-PBE) results for crystalline LaMoSe4 at its relaxed geometry.

Cell: 5.8598 5.8598 5.8598 Å, 60.00 60.00 60.00°
Closest atoms and distances in Å follow each position.
Atoms (fractional coordinates):
Se 0.3746 0.3746 0.8763  6 Se 2.92-2.94
Se 0.3746 0.8763 0.3746  6 Se 2.92-2.94
Se 0.3746 0.3746 0.3746  6 Se 2.92-2.94
Se 0.8763 0.3746 0.3746  6 Se 2.92-2.94
Mo 0.0000 0.0000 0.0000  12 Se 3.43, 4 La 3.59
La 0.7500 0.7500 0.7500  12 Se 3.44, 4 Mo 3.59

Properties
- VASP energy (eV/atom) = -4.612
- DOS(E_F) (states/eV/cell) = 5.15

***

Record 3
DFT (GGA-PBE) results for crystalline LaMo4Se at its relaxed geometry.

Cell: 5.4829 5.4829 5.4829 Å, 60.00 60.00 60.00°
Closest atoms and distances in Å follow each position.
Atoms (fractional coordinates):
Mo 0.8720 0.3760 0.3760  6 Mo 2.72-2.76
Mo 0.3760 0.3760 0.3760  6 Mo 2.72-2.76
Mo 0.3760 0.3760 0.8720  6 Mo 2.72-2.76
Mo 0.3760 0.8720 0.3760  6 Mo 2.72-2.76
La 0.0000 0.0000 0.0000  12 Mo 3.22, 4 Se 3.36
Se 0.7500 0.7500 0.7500  12 Mo 3.21, 4 La 3.36

Properties
- VASP energy (eV/atom) = -8.119
- DOS(E_F) (states/eV/cell) = 7.54

***

Record 4
DFT (GGA-PBE) results for crystalline La2MoSe at its relaxed geometry.

Cell: 4.3217 4.3217 5.9624 Å, 90.00 90.00 90.00°
Closest atoms and distances in Å follow each position.
Atoms (fractional coordinates):
La 0.5000 0.5000 0.3915  2 Se 2.97-2.99, 4 Mo 3.06
La 0.0000 0.0000 0.8182  1 Mo 2.49
Mo 0.0000 0.0000 0.4010  1 La 2.49
Se 0.5000 0.5000 0.8894  6 La 2.97-3.09

Properties
- VASP energy (eV/atom) = -6.478
- DOS(E_F) (states/eV/cell) = 2.10

***

Record 5
DFT (GGA-PBE) results for crystalline La2MoSe at its relaxed geometry.

Cell: 4.8189 3.9219 5.7804 Å, 70.27 90.00 90.00°
Closest atoms and distances in Å follow each position.
Atoms (fractional coordinates):
La 0.0000 0.9747 0.9330  1 Mo 2.49
La 0.5000 0.2538 0.3653  3 Se 3.02-3.12, 4 Mo 3.10-3.12
Se 0.5000 0.5344 0.8105  7 La 3.02-3.18, 2 Mo 3.32
Mo 0.0000 0.7371 0.3912  1 La 2.49

Properties
- VASP energy (eV/atom) = -6.523
- DOS(E_F) (states/eV/cell) = 4.48

***

Record 6
DFT (GGA-PBE) results for crystalline LaMoSe at its relaxed geometry.

Cell: 4.4479 4.4479 3.9852 Å, 90.00 90.00 120.00°
Closest atoms and distances in Å follow each position.
Atoms (fractional coordinates):
Se 0.6667 0.3333 0.5001  3 Mo 2.57
Mo 0.3333 0.6667 0.5001  3 Se 2.57
La 0.0000 0.0000 0.9999  6 Mo 3.25, 6 Se 3.25

Properties
- excess energy over the best structure of this formula in the dataset (meV per atom) = 0.0
- DOS(E_F) (states/eV/cell) = 4.35

***

Record 7
DFT (GGA-PBE) results for crystalline La2MoSe at its relaxed geometry.

Cell: 3.6510 3.6469 8.5450 Å, 66.13 90.00 90.00°
Closest atoms and distances in Å follow each position.
Atoms (fractional coordinates):
Mo 0.5000 0.2500 0.2500  8 La 3.18-3.28
La 0.0000 0.4888 0.4985  4 Mo 3.18-3.28, 4 Se 3.24
La 0.0000 0.0112 0.0015  4 Mo 3.18-3.28, 4 Se 3.24
Se 0.5000 0.7500 0.7500  8 La 3.24

Properties
- VASP energy (eV/atom) = -6.422
- DOS(E_F) (states/eV/cell) = 4.58

***

Record 8
DFT (GGA-PBE) results for crystalline La2MoSe at its relaxed geometry.

Cell: 7.3520 7.3520 7.3520 Å, 35.32 35.32 35.32°
Closest atoms and distances in Å follow each position.
Atoms (fractional coordinates):
Se 0.7923 0.7923 0.7923  3 Mo 2.58
Mo 0.4578 0.4578 0.4578  3 Se 2.58
La 0.2109 0.2109 0.2109  3 Se 3.12, 3 Mo 3.13
La 0.0390 0.0390 0.0390  3 Mo 3.12, 3 Se 3.14

Properties
- VASP energy (eV/atom) = -6.344
- DOS(E_F) (states/eV/cell) = 4.79

***

Record 9
DFT (GGA-PBE) results for crystalline La2MoSe at its relaxed geometry.

Cell: 6.1521 6.1521 6.1521 Å, 138.79 138.79 59.70°
Closest atoms and distances in Å follow each position.
Atoms (fractional coordinates):
Mo 0.5000 0.5000 0.0000  4 La 3.06
La 0.0000 0.0000 0.0000  4 Mo 3.06
La 0.2500 0.7500 0.5000  4 Se 3.06
Se 0.7500 0.2500 0.5000  4 La 3.06

Properties
- VASP energy (eV/atom) = -6.209
- DOS(E_F) (states/eV/cell) = 3.74

***

Record 10
DFT (GGA-PBE) results for crystalline La2MoSe at its relaxed geometry.

Cell: 5.0661 5.0661 5.0661 Å, 60.00 60.00 60.00°
Closest atoms and distances in Å follow each position.
Atoms (fractional coordinates):
Se 0.2500 0.2500 0.2500  4 La 3.10, 4 Mo 3.10
Mo 0.5000 0.5000 0.5000  4 La 3.10, 4 Se 3.10
La 0.0000 0.0000 0.0000  4 Se 3.10, 4 La 3.10
La 0.7500 0.7500 0.7500  4 La 3.10, 4 Mo 3.10

Properties
- VASP energy (eV/atom) = -5.956
- DOS(E_F) (states/eV/cell) = 4.30

***

Record 11
DFT (GGA-PBE) results for crystalline La2MoSe at its relaxed geometry.

Cell: 5.2276 5.2153 3.6615 Å, 90.00 90.00 90.00°
Closest atoms and distances in Å follow each position.
Atoms (fractional coordinates):
La 0.0000 0.0000 0.0000  4 Se 3.19, 4 Mo 3.19
La 0.5000 0.5000 0.0000  4 Mo 3.19, 4 Se 3.19
Mo 0.5000 0.0000 0.5000  8 La 3.19
Se 0.0000 0.5000 0.5000  8 La 3.19

Properties
- VASP energy (eV/atom) = -6.394
- DOS(E_F) (states/eV/cell) = 5.22

***

Record 12
DFT (GGA-PBE) results for crystalline LaMoSe at its relaxed geometry.

Cell: 6.1609 6.1610 3.3806 Å, 74.07 74.08 31.85°
Closest atoms and distances in Å follow each position.
Atoms (fractional coordinates):
Se 0.7046 0.7046 0.2954  4 Mo 2.63
Mo 0.3007 0.3007 0.6993  4 Se 2.63
La 0.9946 0.9946 0.0054  5 Mo 3.25-3.48, 5 Se 3.29-3.38, 4 La 3.38

Properties
- excess energy over the best structure of this formula in the dataset (meV per atom) = 3.7
- DOS(E_F) (states/eV/cell) = 3.84

***

Record 13
DFT (GGA-PBE) results for crystalline La2MoSe at its relaxed geometry.

Cell: 3.6408 3.6408 8.0343 Å, 90.00 90.00 100.82°
Closest atoms and distances in Å follow each position.
Atoms (fractional coordinates):
Mo 0.5000 0.5000 0.2500  4 La 3.04
La 0.0000 0.0000 0.0056  2 Mo 3.04, 2 Se 3.10
La 0.0000 0.0000 0.4944  2 Mo 3.04, 2 Se 3.10
Se 0.5000 0.5000 0.7500  4 La 3.10

Properties
- VASP energy (eV/atom) = -6.432
- DOS(E_F) (states/eV/cell) = 3.42

***

Record 14
DFT (GGA-PBE) results for crystalline LaMo3Se at its relaxed geometry.

Cell: 4.7578 4.7578 4.7578 Å, 90.00 90.00 90.00°
Closest atoms and distances in Å follow each position.
Atoms (fractional coordinates):
Mo 0.0000 0.0000 0.5000  2 Se 2.38
Mo 0.5000 0.0000 0.0000  2 Se 2.38
Mo 0.0000 0.5000 0.0000  2 Se 2.38
Se 0.0000 0.0000 0.0000  6 Mo 2.38
La 0.5000 0.5000 0.5000  12 Mo 3.36

Properties
- excess energy over the best structure of this formula in the dataset (meV per atom) = 0.0
- DOS(E_F) (states/eV/cell) = 9.10

***

Record 15
DFT (GGA-PBE) results for crystalline La2MoSe at its relaxed geometry.

Cell: 7.9283 7.9283 6.4664 Å, 52.19 52.19 90.00°
Closest atoms and distances in Å follow each position.
Atoms (fractional coordinates):
La 0.6755 0.1250 0.2500  2 Mo 2.66
La 0.0745 0.6250 0.2500  2 Mo 2.66
La 0.3750 0.3245 0.7500  2 Mo 2.66
La 0.8750 0.9255 0.7500  2 Mo 2.66
Mo 0.0000 0.0000 0.0000  4 La 2.66
Mo 0.7500 0.2500 0.5000  4 La 2.66
Se 0.5000 0.5000 0.0000  8 La 3.20-3.50, 2 Mo 3.22
Se 0.2500 0.7500 0.5000  8 La 3.20-3.50, 2 Mo 3.22

Properties
- VASP energy (eV/atom) = -6.128
- DOS(E_F) (states/eV/cell) = 5.22

***

Record 16
DFT (GGA-PBE) results for crystalline La3MoSe at its relaxed geometry.

Cell: 5.4614 5.4614 5.4614 Å, 90.00 90.00 90.00°
Closest atoms and distances in Å follow each position.
Atoms (fractional coordinates):
Se 0.5000 0.5000 0.5000  12 La 3.86
La 0.0000 0.0000 0.5000  2 Mo 2.73
La 0.0000 0.5000 0.0000  2 Mo 2.73
La 0.5000 0.0000 0.0000  2 Mo 2.73
Mo 0.0000 0.0000 0.0000  6 La 2.73

Properties
- excess energy over the best structure of this formula in the dataset (meV per atom) = 0.0
- DOS(E_F) (states/eV/cell) = 5.94

***

Record 17
DFT (GGA-PBE) results for crystalline LaMoSe at its relaxed geometry.

Cell: 5.1010 5.1010 5.1010 Å, 60.00 60.00 60.00°
Closest atoms and distances in Å follow each position.
Atoms (fractional coordinates):
La 0.2500 0.2500 0.2500  4 Se 3.12, 4 Mo 3.12
Mo 0.0000 0.0000 0.0000  4 La 3.12
Se 0.5000 0.5000 0.5000  4 La 3.12

Properties
- excess energy over the best structure of this formula in the dataset (meV per atom) = 989.9
- DOS(E_F) (states/eV/cell) = 3.54

***

Record 18
DFT (GGA-PBE) results for crystalline LaMoSe at its relaxed geometry.

Cell: 4.5960 4.5960 4.5960 Å, 60.00 60.00 60.00°
Closest atoms and distances in Å follow each position.
Atoms (fractional coordinates):
Mo 0.2500 0.2500 0.2500  4 La 2.81, 4 Se 2.81
La 0.5000 0.5000 0.5000  4 Mo 2.81
Se 0.0000 0.0000 0.0000  4 Mo 2.81

Properties
- excess energy over the best structure of this formula in the dataset (meV per atom) = 399.1
- DOS(E_F) (states/eV/cell) = 3.24

***

Record 19
DFT (GGA-PBE) results for crystalline La2MoSe at its relaxed geometry.

Cell: 3.9764 3.9764 8.5069 Å, 76.56 76.56 59.93°
Closest atoms and distances in Å follow each position.
Atoms (fractional coordinates):
Mo 0.7500 0.7500 0.7500  6 La 3.07-3.08
Se 0.2500 0.2500 0.2500  6 La 3.08
La 0.5004 0.5004 0.5006  3 Mo 3.07-3.08, 3 Se 3.08
La 0.9996 0.9996 0.9994  3 Mo 3.07-3.08, 3 Se 3.08

Properties
- VASP energy (eV/atom) = -6.379
- DOS(E_F) (states/eV/cell) = 4.89

***

Record 20
DFT (GGA-PBE) results for crystalline LaZn2MoSe at its relaxed geometry.

Cell: 4.9154 4.7945 4.9154 Å, 90.00 90.00 90.00°
Closest atoms and distances in Å follow each position.
Atoms (fractional coordinates):
La 0.5000 0.5000 0.5000  8 Zn 3.43, 4 Se 3.48
Se 0.0000 0.5000 0.0000  2 Mo 2.40
Zn 0.0000 0.0000 0.5000  2 Mo 2.46
Zn 0.5000 0.0000 0.0000  2 Mo 2.46
Mo 0.0000 0.0000 0.0000  2 Se 2.40, 4 Zn 2.46

Properties
- VASP energy (eV/atom) = -4.499
- DOS(E_F) (states/eV/cell) = 2.92